{
  "formula": "K2RbCl",
  "functional": "PBE-GGA",
  "state": "optimized geometry",
  "lattice": [[4.6616, 0.0000, 0.0000], [2.3308, 4.0370, 0.0000], [2.3308, 1.3457, 11.9783]],
  "species": ["K", "K", "Cl", "Rb"],
  "frac_coords": [[0.0508, 0.0508, 0.8477], [0.2824, 0.2824, 0.1527], [0.6665, 0.6665, 0.0006], [0.5003, 0.5003, 0.4990]],
  "crystal_system": "trigonal",
  "formation_energy_uncorrected_ev_per_atom": -0.9140,
  "dos_ef_per_ev_cell": 2.26,
  "total_energy_ha_per_atom": -0.0796
}

=====

{
  "formula": "Ce7Tl2Au2",
  "functional": "PBE-GGA",
  "state": "optimized geometry",
  "lattice": [[-4.2111, 1.6808, -5.5226], [-5.5809, -1.9755, 3.6510], [0.7679, 5.6932, 4.2492]],
  "species": ["Ce", "Ce", "Ce", "Ce", "Ce", "Ce", "Ce", "Au", "Au", "Tl", "Tl"],
  "frac_coords": [[0.5002, 0.7881, 0.4998], [0.9998, 0.3027, 0.5003], [0.0002, 0.6973, 0.4997], [0.4998, 0.2119, 0.5002], [0.4997, 0.3027, 0.0002], [0.5003, 0.6973, 0.9998], [0.0000, 0.0000, 0.0000], [0.7329, 0.0000, 0.2671], [0.2671, 0.0000, 0.7329], [0.1783, 0.5000, 0.1783], [0.8217, 0.5000, 0.8217]],
  "crystal_system": "orthorhombic",
  "ef_mev_per_atom": -106.3,
  "dos_ef_per_ev_cell": 36.69,
  "total_energy_ha_per_atom": -0.1804
}

=====

{
  "formula": "Na2CdBi",
  "functional": "PBE-GGA",
  "state": "optimized geometry",
  "lattice": [[-5.2304, 0.7453, 2.4815], [-2.6644, -3.6021, -4.5340], [1.2411, -4.7657, 4.0471]],
  "species": ["Cd", "Cd", "Bi", "Bi", "Na", "Na", "Na", "Na"],
  "frac_coords": [[0.5000, 0.5000, 0.5000], [0.0000, 0.5000, 0.5000], [0.2500, 0.1787, 0.1787], [0.7500, 0.8213, 0.8213], [0.2500, 0.0212, 0.6576], [0.2500, 0.6576, 0.0212], [0.7500, 0.3424, 0.9788], [0.7500, 0.9788, 0.3424]],
  "crystal_system": "orthorhombic",
  "ef_mev_per_atom": -225.1,
  "dos_ef_per_ev_cell": 3.52,
  "total_energy_ha_per_atom": -0.0766
}

=====

{
  "formula": "CaTa3Br",
  "functional": "PBE-GGA",
  "state": "optimized geometry",
  "lattice": [[4.9275, 0.0000, 0.0000], [0.0000, 4.9275, 0.0000], [0.0000, 0.0000, 4.9275]],
  "species": ["Ta", "Ta", "Ta", "Ca", "Br"],
  "frac_coords": [[0.0000, 0.0000, 0.5000], [0.0000, 0.5000, 0.0000], [0.5000, 0.0000, 0.0000], [0.0000, 0.0000, 0.0000], [0.5000, 0.5000, 0.5000]],
  "crystal_system": "cubic",
  "formation_energy_uncorrected_ev_per_atom": 2.7618,
  "dos_ef_per_ev_cell": 6.93,
  "total_energy_ha_per_atom": -0.1869
}

=====

{
  "formula": "UB2Ir",
  "functional": "PBE-GGA",
  "state": "optimized geometry",
  "lattice": [[3.7067, 0.0000, 0.0000], [1.8533, 3.2101, 0.0000], [1.8533, 1.0700, 4.3849]],
  "species": ["Ir", "U", "B", "B"],
  "frac_coords": [[0.0000, 0.0000, 0.0000], [0.5000, 0.5000, 0.5000], [0.7189, 0.7189, 0.8433], [0.2811, 0.2811, 0.1567]],
  "crystal_system": "trigonal",
  "ef_mev_per_atom": -303.9,
  "dos_ef_per_ev_cell": 1.76,
  "total_energy_ha_per_atom": -0.3190
}

=====

{
  "formula": "CuSb",
  "functional": "PBE-GGA",
  "state": "optimized geometry",
  "lattice": [[-3.0778, -2.7133, 0.1990], [3.2135, -0.3049, 2.5497], [-3.8174, 4.4204, 2.1346]],
  "species": ["Cu", "Cu", "Sb", "Sb"],
  "frac_coords": [[0.1489, 0.7985, 0.4457], [0.8511, 0.2015, 0.5543], [0.5875, 0.6742, 0.7721], [0.4125, 0.3258, 0.2279]],
  "crystal_system": "triclinic",
  "formation_energy_uncorrected_ev_per_atom": 0.0836,
  "dos_ef_per_ev_cell": 1.45,
  "total_energy_ha_per_atom": -0.1479
}

=====

{
  "formula": "LiZrTiIr",
  "functional": "PBE-GGA",
  "state": "optimized geometry",
  "lattice": [[-0.5459, 4.1166, -1.8412], [-3.0077, 0.6094, -3.3492], [-3.8132, 2.3452, 0.7706]],
  "species": ["Ir", "Ti", "Li", "Zr"],
  "frac_coords": [[0.7500, 0.7500, 0.7500], [0.5000, 0.5000, 0.5000], [0.2500, 0.2500, 0.2500], [0.0000, 0.0000, 0.0000]],
  "crystal_system": "cubic",
  "ef_mev_per_atom": -451.3,
  "dos_ef_per_ev_cell": 2.20,
  "total_energy_ha_per_atom": -0.2666
}

=====

{
  "formula": "BPdRh2Au",
  "functional": "PBE-GGA",
  "state": "optimized geometry",
  "lattice": [[4.1327, 0.0000, 0.0000], [0.0000, 4.1327, 0.0000], [0.0000, 0.0000, 4.1949]],
  "species": ["Rh", "Rh", "B", "Au", "Pd"],
  "frac_coords": [[0.0000, 0.5000, 0.0000], [0.5000, 0.0000, 0.0000], [0.0000, 0.0000, 0.0000], [0.5000, 0.5000, 0.5000], [0.0000, 0.0000, 0.5000]],
  "crystal_system": "tetragonal",
  "ef_mev_per_atom": 16.1,
  "dos_ef_per_ev_cell": 7.49,
  "total_energy_ha_per_atom": -0.2188
}